Record 1
# HgH2PbF8

A geometry-optimized HgH2PbF8 structure (GGA-PBE, Alexandria via LeMat-Bulk).

Cell and atoms, written as POSCAR:
```
HgH2PbF8
1.0
3.567 0.935 0.005
0.951 5.144 0.138
-0.027 0.277 9.274
Hg H Pb F
1 2 1 8
Direct
0.000 0.000 0.000
0.547 0.495 0.723
0.453 0.505 0.277
0.000 0.000 0.500
0.210 0.685 0.270
0.585 0.743 0.950
0.837 0.238 0.304
0.790 0.315 0.730
0.415 0.257 0.050
0.163 0.762 0.696
0.656 0.745 0.471
0.344 0.255 0.529
```

## Properties
As for the crystal system: triclinic. The calculation puts the total energy at -3.74 eV/atom. The symmetry is P-1, No. 2.

Record 2
# Tb3AgC4O12

A geometry-optimized Tb3AgC4O12 structure (GGA-PBE, Alexandria via LeMat-Bulk).

Cell and atoms, written as POSCAR:
```
Tb3AgC4O12
1.0
-2.255 -6.128 1.083
2.355 -0.999 -6.104
5.732 -0.588 3.257
Tb Ag C O
3 1 4 12
Direct
0.533 0.467 0.000
0.467 0.000 0.533
0.000 0.533 0.467
0.000 0.000 0.000
0.980 0.020 0.500
0.020 0.500 0.980
0.500 0.980 0.020
0.500 0.500 0.500
0.500 0.370 0.630
0.887 0.500 0.113
0.113 0.887 0.500
0.500 0.113 0.887
0.489 0.048 0.208
0.208 0.489 0.048
0.048 0.208 0.489
0.511 0.792 0.952
0.952 0.511 0.792
0.792 0.952 0.511
0.630 0.500 0.370
0.370 0.630 0.500
```

## Properties
The uncorrected formation energy comes out at -1.961 eV per atom. As for the crystal system: trigonal. The symmetry is R32, No. 155.

no.,N(E_F) (states/eV per atom)
1,0.1305
2,0.1010